Entry 1:
DFT (GGA-PBE) results for a relaxed structure of RbCe2BeS5.

E_form (uncorrected) = -1.5980 eV per atom
Spin magnetization = 4.120 μB/cell
D(E_F) = 34.523 states/eV/cell

```
data_RbCe2BeS5
_chemical_formula_sum 'Rb4 Ce8 Be4 S20'
_cell_length_a 7.8346
_cell_length_b 7.8346
_cell_length_c 13.0182
_cell_angle_alpha 90.00
_cell_angle_beta 90.00
_cell_angle_gamma 90.00
_symmetry_space_group_name_H-M 'I 4/m c m'
_symmetry_Int_Tables_number 140
_symmetry_space_group_name_Hall '-I 4 2c'
loop_
_atom_site_label
_atom_site_type_symbol
_atom_site_fract_x
_atom_site_fract_y
_atom_site_fract_z
_atom_site_occupancy
Rb1 Rb 0.0000 0.0000 0.2500 1
Ce1 Ce 0.1668 0.3332 0.0000 1
Be1 Be 0.0000 0.5000 0.2500 1
S1 S 0.0000 0.0000 0.0000 1
S2 S 0.1372 0.3628 0.3641 1
```


Entry 2:
DFT (GGA-PBE) results for a relaxed structure of K2H5Ir.

Raw total energy = -59.412 eV/cell
Spin magnetization = 0.215 μB/cell

```
data_K2H5Ir
_chemical_formula_sum 'K4 H10 Ir2'
_cell_length_a 5.9218
_cell_length_b 5.9218
_cell_length_c 7.3872
_cell_angle_alpha 90.00
_cell_angle_beta 90.00
_cell_angle_gamma 90.00
_symmetry_space_group_name_H-M 'I 4 m m'
_symmetry_Int_Tables_number 107
_symmetry_space_group_name_Hall 'I 4 -2'
loop_
_atom_site_label
_atom_site_type_symbol
_atom_site_fract_x
_atom_site_fract_y
_atom_site_fract_z
_atom_site_occupancy
K1 K 0.0000 0.5000 0.0000 1
H1 H 0.0000 0.0000 0.4621 1
H2 H 0.2023 0.2023 0.2512 1
Ir1 Ir 0.0000 0.0000 0.2521 1
```


Entry 3:
DFT (GGA-PBE) results for a relaxed structure of Tb5Sm2Ir4.

E_form = -4.30 eV per formula unit
Spin magnetization = 0.000 μB/cell
D(E_F) = 14.464 states/eV/cell

```
data_Tb5Sm2Ir4
_chemical_formula_sum 'Tb10 Sm4 Ir8'
_cell_length_a 24.3716
_cell_length_b 3.7053
_cell_length_c 6.8981
_cell_angle_alpha 90.00
_cell_angle_beta 93.94
_cell_angle_gamma 90.00
_symmetry_space_group_name_H-M 'C 1 2/m 1'
_symmetry_Int_Tables_number 12
_symmetry_space_group_name_Hall '-C 2y'
loop_
_atom_site_label
_atom_site_type_symbol
_atom_site_fract_x
_atom_site_fract_y
_atom_site_fract_z
_atom_site_occupancy
Tb1 Tb 0.0000 0.0000 0.0000 1
Tb2 Tb 0.1332 0.5000 0.1917 1
Tb3 Tb 0.2327 0.5000 0.7091 1
Sm1 Sm 0.0864 0.5000 0.6558 1
Ir1 Ir 0.0271 0.5000 0.2988 1
Ir2 Ir 0.1684 0.0000 0.4867 1
```